Entry 1:
MgGaGe2 | Alexandria via LeMat-Bulk | PBE | optimized geometry; SG = No. 225; calculated total energy = -3.38 eV per atom; formation enthalpy at 0 K = 85.1 meV/atom; M_tot = 0.00 μB per formula unit
1.0
0.000 3.386 3.386
3.386 0.000 3.386
3.386 3.386 0.000
Mg Ga Ge
1 1 2
Cartesian
0.000 0.000 0.000
3.386 3.386 3.386
1.693 1.693 1.693
5.078 5.078 5.078

=====

Entry 2:
Cu2Hg2Pb | Alexandria via LeMat-Bulk | PBE | optimized geometry; SG = No. 139; calculated total energy = -2.34 eV per atom; formation enthalpy at 0 K = 159.3 meV/atom; M_tot = 0.00 μB per formula unit
1.0
-1.754 1.754 8.822
1.754 -1.754 8.822
1.754 1.754 -8.822
Cu Hg Pb
2 2 1
Cartesian
1.754 0.000 4.411
0.000 1.754 4.411
0.000 0.000 2.267
0.000 0.000 15.377
0.000 0.000 8.822

=====

Entry 3:
BeCu2 | Alexandria via LeMat-Bulk | PBE | optimized geometry; SG = No. 140; calculated total energy = -4.02 eV per atom; formation enthalpy at 0 K = -44.5 meV/atom; M_tot = 0.00 μB per formula unit
1.0
-2.644 2.644 2.263
2.644 -2.644 2.263
2.644 2.644 -2.263
Be Cu
2 4
Cartesian
0.000 0.000 1.131
0.000 0.000 3.394
3.508 0.864 0.000
0.864 1.780 0.000
1.780 0.864 2.263
-0.864 1.780 2.263

=====

Entry 4:
KScTa4 | Alexandria via LeMat-Bulk | PBE | optimized geometry; SG = No. 216; calculated total energy = -8.26 eV per atom; formation enthalpy at 0 K = 880.6 meV/atom; M_tot = 0.00 μB per formula unit
1.0
0.000 4.066 4.066
4.066 0.000 4.066
4.066 4.066 0.000
K Sc Ta
1 1 4
Cartesian
0.000 0.000 0.000
6.099 6.099 6.099
3.066 3.066 3.066
5.066 5.066 3.066
5.066 3.066 5.066
3.066 5.066 5.066